Entry from the Alexandria database: crystalline RbGaTe2 at its relaxed geometry (PBE).

Summary:
- total energy (eV for the cell shown) = -49.520
- formation energy without anion corrections (meV per atom) = -526

The structure in CIF format:
```
data_RbGaTe2
_cell_length_a 5.925
_cell_length_b 30.019
_cell_length_c 4.334
_cell_angle_alpha 90.00
_cell_angle_beta 90.00
_cell_angle_gamma 90.00
_space_group_name_H-M_alt 'C m c m'
_space_group_IT_number 63
_space_group_name_Hall '-C 2c 2'
loop_
_atom_site_label
_atom_site_type_symbol
_atom_site_fract_x
_atom_site_fract_y
_atom_site_fract_z
_atom_site_occupancy
Rb1 Rb 0.000 0.183 0.250 1
Ga1 Ga 0.000 0.393 0.250 1
Te1 Te 0.000 0.309 0.250 1
Te2 Te 0.000 0.443 0.750 1
```

---

Entry from the Alexandria database: crystalline Pm3Dy4Sc2 at its relaxed geometry (PBE).

Summary:
- ΔH_f (0 K) (eV per atom) = 0.159
- total energy (eV for the cell shown) = -175.582
- relative energy among the computed polymorphs (eV/f.u.) = 1.06

The structure in CIF format:
```
data_Pm3Dy4Sc2
_cell_length_a 15.677
_cell_length_b 11.648
_cell_length_c 6.161
_cell_angle_alpha 90.00
_cell_angle_beta 91.98
_cell_angle_gamma 90.00
_space_group_name_H-M_alt 'C 1 2/c 1'
_space_group_IT_number 15
_space_group_name_Hall '-C 2yc'
loop_
_atom_site_label
_atom_site_type_symbol
_atom_site_fract_x
_atom_site_fract_y
_atom_site_fract_z
_atom_site_occupancy
Pm1 Pm 0.000 0.021 0.250 1
Pm2 Pm 0.098 0.423 0.073 1
Dy1 Dy 0.068 0.247 0.544 1
Dy2 Dy 0.173 0.140 0.019 1
Sc1 Sc 0.246 0.383 0.480 1
```

---

Entry from the Alexandria database: crystalline K2AlRh at its relaxed geometry (PBE).

Summary:
- ΔH_f (0 K) (eV per atom) = 0.572
- total energy (eV for the cell shown) = -11.000

The structure in CIF format:
```
data_K2AlRh
_cell_length_a 3.622
_cell_length_b 5.294
_cell_length_c 5.420
_cell_angle_alpha 90.00
_cell_angle_beta 90.00
_cell_angle_gamma 90.00
_space_group_name_H-M_alt 'P m m m'
_space_group_IT_number 47
_space_group_name_Hall '-P 2 2'
loop_
_atom_site_label
_atom_site_type_symbol
_atom_site_fract_x
_atom_site_fract_y
_atom_site_fract_z
_atom_site_occupancy
K1 K 0.000 0.000 0.245 1
Al1 Al 0.500 0.500 0.500 1
Rh1 Rh 0.500 0.500 0.000 1
```

---

Entry from the Alexandria database: crystalline Co2BrCl at its relaxed geometry (PBE).

Summary:
- total energy (eV for the cell shown) = -17.660
- formation energy without anion corrections (meV per atom) = 18

The structure in CIF format:
```
data_Co2BrCl
_cell_length_a 3.738
_cell_length_b 3.693
_cell_length_c 6.481
_cell_angle_alpha 90.00
_cell_angle_beta 93.15
_cell_angle_gamma 90.00
_space_group_name_H-M_alt 'P 1 m 1'
_space_group_IT_number 6
_space_group_name_Hall 'P -2y'
loop_
_atom_site_label
_atom_site_type_symbol
_atom_site_fract_x
_atom_site_fract_y
_atom_site_fract_z
_atom_site_occupancy
Co1 Co 0.000 0.000 0.000 1
Co2 Co 0.381 0.500 0.017 1
Br1 Br 0.469 0.000 0.753 1
Cl1 Cl 0.909 0.500 0.234 1
```

---

Entry from the Alexandria database: crystalline HoPa2GaN5 at its relaxed geometry (PBE).

Summary:
- total energy (eV for the cell shown) = -317.462
- formation energy without anion corrections (meV per atom) = -1238

The structure in CIF format:
```
data_HoPa2GaN5
_cell_length_a 3.435
_cell_length_b 13.673
_cell_length_c 10.804
_cell_angle_alpha 90.00
_cell_angle_beta 90.00
_cell_angle_gamma 90.00
_space_group_name_H-M_alt 'C m c 21'
_space_group_IT_number 36
_space_group_name_Hall 'C 2c -2'
loop_
_atom_site_label
_atom_site_type_symbol
_atom_site_fract_x
_atom_site_fract_y
_atom_site_fract_z
_atom_site_occupancy
Ho1 Ho 0.000 0.212 0.000 1
Pa1 Pa 0.000 0.126 0.271 1
Pa2 Pa 0.000 0.136 0.712 1
Ga1 Ga 0.000 0.500 0.002 1
N1 N 0.000 0.048 0.073 1
N2 N 0.000 0.291 0.343 1
N3 N 0.000 0.294 0.661 1
N4 N 0.000 0.367 0.074 1
N5 N 0.000 0.482 0.817 1
```

---

Entry from the Alexandria database: crystalline Ni3C at its relaxed geometry (PBE).

Summary:
- ΔH_f (0 K) (eV per atom) = 0.099
- total energy (eV for the cell shown) = -104.688
- relative energy among the computed polymorphs (eV/f.u.) = 0.15

The structure in CIF format:
```
data_Ni3C
_cell_length_a 4.938
_cell_length_b 6.776
_cell_length_c 4.450
_cell_angle_alpha 90.00
_cell_angle_beta 90.00
_cell_angle_gamma 90.00
_space_group_name_H-M_alt 'P n m a'
_space_group_IT_number 62
_space_group_name_Hall '-P 2ac 2n'
loop_
_atom_site_label
_atom_site_type_symbol
_atom_site_fract_x
_atom_site_fract_y
_atom_site_fract_z
_atom_site_occupancy
Ni1 Ni 0.043 0.250 0.164 1
Ni2 Ni 0.173 0.073 0.678 1
C1 C 0.118 0.750 0.445 1
```

---

Entry from the Alexandria database: crystalline K2PbNF at its relaxed geometry (PBE).

Summary:
- total energy (eV for the cell shown) = -16.749
- formation energy without anion corrections (meV per atom) = -130

The structure in CIF format:
```
data_K2PbNF
_cell_length_a 4.830
_cell_length_b 4.830
_cell_length_c 5.210
_cell_angle_alpha 90.00
_cell_angle_beta 90.00
_cell_angle_gamma 90.00
_space_group_name_H-M_alt 'P 4/m m m'
_space_group_IT_number 123
_space_group_name_Hall '-P 4 2'
loop_
_atom_site_label
_atom_site_type_symbol
_atom_site_fract_x
_atom_site_fract_y
_atom_site_fract_z
_atom_site_occupancy
K1 K 0.000 0.500 0.000 1
Pb1 Pb 0.000 0.000 0.500 1
N1 N 0.500 0.500 0.500 1
F1 F 0.000 0.000 0.000 1
```

---

Entry from the Alexandria database: crystalline KMo2Ru at its relaxed geometry (PBE).

Summary:
- ΔH_f (0 K) (eV per atom) = 1.477
- total energy (eV for the cell shown) = -26.128
- relative energy among the computed polymorphs (eV/f.u.) = 2.99

The structure in CIF format:
```
data_KMo2Ru
_cell_length_a 2.957
_cell_length_b 4.765
_cell_length_c 4.947
_cell_angle_alpha 90.00
_cell_angle_beta 90.00
_cell_angle_gamma 90.00
_space_group_name_H-M_alt 'P m m m'
_space_group_IT_number 47
_space_group_name_Hall '-P 2 2'
loop_
_atom_site_label
_atom_site_type_symbol
_atom_site_fract_x
_atom_site_fract_y
_atom_site_fract_z
_atom_site_occupancy
K1 K 0.000 0.000 0.000 1
Mo1 Mo 0.000 0.500 0.500 1
Mo2 Mo 0.500 0.000 0.500 1
Ru1 Ru 0.500 0.500 0.000 1
```

---

Entry from the Alexandria database: crystalline ReMoH3 at its relaxed geometry (PBE).

Summary:
- total energy (eV for the cell shown) = -29.562
- relative energy among the computed polymorphs (eV/f.u.) = 0.75

The structure in CIF format:
```
data_ReMoH3
_cell_length_a 3.437
_cell_length_b 3.437
_cell_length_c 3.437
_cell_angle_alpha 90.00
_cell_angle_beta 90.00
_cell_angle_gamma 90.00
_space_group_name_H-M_alt 'P m -3 m'
_space_group_IT_number 221
_space_group_name_Hall '-P 4 2 3'
loop_
_atom_site_label
_atom_site_type_symbol
_atom_site_fract_x
_atom_site_fract_y
_atom_site_fract_z
_atom_site_occupancy
Re1 Re 0.000 0.000 0.000 1
Mo1 Mo 0.500 0.500 0.500 1
H1 H 0.000 0.500 0.500 1
```

---

Entry from the Alexandria database: crystalline SmBe3Ni at its relaxed geometry (PBE).

Summary:
- ΔH_f (0 K) (eV per atom) = -0.092
- total energy (eV for the cell shown) = -22.139

The structure in CIF format:
```
data_SmBe3Ni
_cell_length_a 4.132
_cell_length_b 4.132
_cell_length_c 4.132
_cell_angle_alpha 90.00
_cell_angle_beta 90.00
_cell_angle_gamma 90.00
_space_group_name_H-M_alt 'P m -3 m'
_space_group_IT_number 221
_space_group_name_Hall '-P 4 2 3'
loop_
_atom_site_label
_atom_site_type_symbol
_atom_site_fract_x
_atom_site_fract_y
_atom_site_fract_z
_atom_site_occupancy
Sm1 Sm 0.000 0.000 0.000 1
Be1 Be 0.000 0.500 0.500 1
Ni1 Ni 0.500 0.500 0.500 1
```

---

Entry from the Alexandria database: crystalline TlIn3Hg8 at its relaxed geometry (PBE).

Summary:
- ΔH_f (0 K) (eV per atom) = 0.038
- total energy (eV for the cell shown) = -50.177

The structure in CIF format:
```
data_TlIn3Hg8
_cell_length_a 9.499
_cell_length_b 9.708
_cell_length_c 16.083
_cell_angle_alpha 90.00
_cell_angle_beta 90.00
_cell_angle_gamma 90.00
_space_group_name_H-M_alt 'F m m m'
_space_group_IT_number 69
_space_group_name_Hall '-F 2 2'
loop_
_atom_site_label
_atom_site_type_symbol
_atom_site_fract_x
_atom_site_fract_y
_atom_site_fract_z
_atom_site_occupancy
Tl1 Tl 0.000 0.000 0.000 1
In1 In 0.000 0.000 0.500 1
In2 In 0.250 0.250 0.250 1
Hg1 Hg 0.000 0.246 0.374 1
Hg2 Hg 0.247 0.000 0.371 1
```

---

Entry from the Alexandria database: crystalline MnTc2 at its relaxed geometry (PBE).

Summary:
- ΔH_f (0 K) (eV per atom) = 0.097
- total energy (eV for the cell shown) = -59.223
- relative energy among the computed polymorphs (eV/f.u.) = 0.29

The structure in CIF format:
```
data_MnTc2
_cell_length_a 3.079
_cell_length_b 3.079
_cell_length_c 8.936
_cell_angle_alpha 90.00
_cell_angle_beta 90.00
_cell_angle_gamma 90.00
_space_group_name_H-M_alt 'I 4/m m m'
_space_group_IT_number 139
_space_group_name_Hall '-I 4 2'
loop_
_atom_site_label
_atom_site_type_symbol
_atom_site_fract_x
_atom_site_fract_y
_atom_site_fract_z
_atom_site_occupancy
Mn1 Mn 0.000 0.000 0.000 1
Tc1 Tc 0.000 0.000 0.332 1
```